The following is a DFT calculation (GGA-PBE) of crystalline Fe2OsRuCl at its relaxed geometry.

abc: 4.0217 4.3349 4.0217
angles: 90.00 90.00 90.00
Fractional positions:
Fe 0.0000 0.0000 0.5000
Os 0.0000 0.5000 0.0000
Ru 0.5000 0.5000 0.5000
Cl 0.0000 0.0000 0.0000
Fe 0.5000 0.0000 0.0000

Summary:
Uncorrected formation energy (meV per atom): 1444
Space group: P4/mmm, No. 123
DFT total energy (eV per atom): -6.411